! TbVIO4 | the Alexandria database | PBE with a Hubbard U | relaxed; values from VASP
&SYSTEM
  ibrav = 0, nat = 14, ntyp = 4
/
ATOMIC_SPECIES
V 50.94 V.upf
O 16.00 O.upf
Tb 158.93 Tb.upf
I 126.90 I.upf
CELL_PARAMETERS angstrom
6.7762 0.9079 -0.4065
3.1012 6.0929 -0.4065
1.5857 1.1239 6.5247
ATOMIC_POSITIONS crystal
V 0.3687 0.3687 0.2560
O 0.1090 0.5358 0.1224
Tb 0.7028 0.7028 0.1625
O 0.5358 0.1090 0.1224
Tb 0.2972 0.2972 0.8375
O 0.4642 0.8910 0.8776
I 0.0388 0.0388 0.3003
O 0.5122 0.5122 0.2255
O 0.3057 0.3057 0.5072
O 0.6943 0.6943 0.4928
V 0.6313 0.6313 0.7440
I 0.9612 0.9612 0.6997
O 0.4878 0.4878 0.7745
O 0.8910 0.4642 0.8776
! VASP energy, eV per cell: -97.641
! Crystal system: monoclinic
! Total moment, μB/f.u.: 0.000
! Space group: C2/m, No. 12